The following is a PBE calculation of a geometry-optimized Ni3BiSb structure, from Alexandria.

Summary:
Distance to the lowest polymorph of the same formula: 0 meV per atom
Space-group type: Pm-3m, No. 221
E: -22.538 eV for the cell shown
DOS(E_F): 0.4471 states/eV/atom
Uncorrected formation energy: 0.562 eV per atom

The structure in CIF format:
```
data_Ni3BiSb
_symmetry_space_group_name_H-M 'P 1'
_symmetry_Int_Tables_number 1
_cell_length_a 4.6788
_cell_length_b 4.6788
_cell_length_c 4.6788
_cell_angle_alpha 90.00
_cell_angle_beta 90.00
_cell_angle_gamma 90.00
loop_
_symmetry_equiv_pos_as_xyz
'x,y,z'
loop_
_atom_site_label
_atom_site_fract_x
_atom_site_fract_y
_atom_site_fract_z
Ni1 0.0000 0.0000 0.5000
Ni2 0.0000 0.5000 0.0000
Ni3 0.5000 0.0000 0.0000
Bi1 0.5000 0.5000 0.5000
Sb1 0.0000 0.0000 0.0000
```

The following is a PBE calculation of a geometry-optimized AcGa3 structure, from Alexandria.

Summary:
Calculated formation energy: -11 kJ/mol of atoms
Distance to the lowest polymorph of the same formula: 425 meV per atom
Space-group type: I4/mmm, No. 139
E: -13.641 eV for the cell shown
DOS(E_F): 0.7057 states/eV/atom

The structure in CIF format:
```
data_AcGa3
_symmetry_space_group_name_H-M 'P 1'
_symmetry_Int_Tables_number 1
_cell_length_a 6.5746
_cell_length_b 6.5746
_cell_length_c 6.5746
_cell_angle_alpha 140.83
_cell_angle_beta 140.83
_cell_angle_gamma 56.59
loop_
_symmetry_equiv_pos_as_xyz
'x,y,z'
loop_
_atom_site_label
_atom_site_fract_x
_atom_site_fract_y
_atom_site_fract_z
Ac1 0.0000 0.0000 0.0000
Ga1 0.2821 0.2821 0.0000
Ga2 0.5000 0.5000 0.0000
Ga3 0.7179 0.7179 0.0000
```

The following is a PBE calculation of a geometry-optimized LaPmNiPb structure, from Alexandria.

Summary:
Calculated formation energy: -26 kJ/mol of atoms
Space-group type: F-43m, No. 216
E: -20.257 eV for the cell shown
DOS(E_F): 0.4658 states/eV/atom

The structure in CIF format:
```
data_LaPmNiPb
_symmetry_space_group_name_H-M 'P 1'
_symmetry_Int_Tables_number 1
_cell_length_a 5.3612
_cell_length_b 5.3612
_cell_length_c 5.3612
_cell_angle_alpha 60.00
_cell_angle_beta 60.00
_cell_angle_gamma 60.00
loop_
_symmetry_equiv_pos_as_xyz
'x,y,z'
loop_
_atom_site_label
_atom_site_fract_x
_atom_site_fract_y
_atom_site_fract_z
La1 0.0000 0.0000 0.0000
Pm1 0.5000 0.5000 0.5000
Ni1 0.7500 0.7500 0.7500
Pb1 0.2500 0.2500 0.2500
```